Mg2MnCu: optimized geometry, GGA-PBE.

Its distance to the lowest polymorph of the same formula is 0 meV per atom. The total energy is -4.01 eV per atom.

Cell lengths 3.111, 3.111, 7.131 Å; angles 90.00, 90.00, 90.00 degrees
Space group P4mm (No. 99)
One atom of each set of equivalent atoms:
Mg 0.000 0.000 0.000 x1
Mg 0.500 0.500 0.322 x1
Mn 0.000 0.000 0.583 x1
Cu 0.500 0.500 0.770 x1